Record 1
## MnPtS3 (PBE-GGA)

Data for a relaxed MnPtS3 crystal.

```
data_MnPtS3
_chemical_formula_sum 'Mn1 Pt1 S3'
_cell_length_a 4.360
_cell_length_b 4.360
_cell_length_c 4.360
_cell_angle_alpha 90.00
_cell_angle_beta 90.00
_cell_angle_gamma 90.00
_symmetry_space_group_name_H-M 'P m -3 m'
_symmetry_Int_Tables_number 221
_symmetry_space_group_name_Hall '-P 4 2 3'
loop_
_atom_site_label
_atom_site_type_symbol
_atom_site_fract_x
_atom_site_fract_y
_atom_site_fract_z
Mn1 Mn 0.000 0.000 0.000
Pt1 Pt 0.500 0.500 0.500
S1 S 0.000 0.000 0.500
```

## Properties
formation energy without anion corrections: 0.668 eV/atom
energy above the lowest structure with this stoichiometry: 1033 meV/atom
total magnetic moment: 0.00 μB/atom
total energy: -24.254 eV for the cell shown

=====

Record 2
## AcHo2CrN4 (PBE-GGA)

Data for a relaxed AcHo2CrN4 crystal.

```
data_AcHo2CrN4
_chemical_formula_sum 'Ac4 Ho8 Cr4 N16'
_cell_length_a 3.467
_cell_length_b 11.859
_cell_length_c 11.641
_cell_angle_alpha 90.00
_cell_angle_beta 90.00
_cell_angle_gamma 90.00
_symmetry_space_group_name_H-M 'C m c m'
_symmetry_Int_Tables_number 63
_symmetry_space_group_name_Hall '-C 2c 2'
loop_
_atom_site_label
_atom_site_type_symbol
_atom_site_fract_x
_atom_site_fract_y
_atom_site_fract_z
Ac1 Ac 0.000 0.091 0.250
Ho1 Ho 0.000 0.369 0.044
Cr1 Cr 0.000 0.171 0.750
N1 N 0.000 0.000 0.000
N2 N 0.000 0.262 0.623
N3 N 0.000 0.411 0.250
```

## Properties
formation energy without anion corrections: -1.252 eV/atom
total magnetic moment: 0.25 μB/atom
total energy: -264.831 eV for the cell shown

=====

Record 3
## ZrMn2HgOs (PBE-GGA)

Data for a relaxed ZrMn2HgOs crystal.

```
data_ZrMn2HgOs
_chemical_formula_sum 'Zr1 Mn2 Hg1 Os1'
_cell_length_a 4.832
_cell_length_b 4.832
_cell_length_c 4.983
_cell_angle_alpha 90.00
_cell_angle_beta 90.00
_cell_angle_gamma 90.00
_symmetry_space_group_name_H-M 'P 4/m m m'
_symmetry_Int_Tables_number 123
_symmetry_space_group_name_Hall '-P 4 2'
loop_
_atom_site_label
_atom_site_type_symbol
_atom_site_fract_x
_atom_site_fract_y
_atom_site_fract_z
Zr1 Zr 0.000 0.000 0.000
Mn1 Mn 0.000 0.500 0.500
Hg1 Hg 0.500 0.500 0.000
Os1 Os 0.000 0.000 0.500
```

## Properties
total magnetic moment: 1.59 μB/atom
energy relative to the elements: 0.75 eV per atom
total energy: -34.660 eV for the cell shown

=====

Record 4
## ReTc3Cl (PBE-GGA)

Data for a relaxed ReTc3Cl crystal.

```
data_ReTc3Cl
_chemical_formula_sum 'Re1 Tc3 Cl1'
_cell_length_a 4.296
_cell_length_b 4.296
_cell_length_c 4.296
_cell_angle_alpha 90.00
_cell_angle_beta 90.00
_cell_angle_gamma 90.00
_symmetry_space_group_name_H-M 'P m -3 m'
_symmetry_Int_Tables_number 221
_symmetry_space_group_name_Hall '-P 4 2 3'
loop_
_atom_site_label
_atom_site_type_symbol
_atom_site_fract_x
_atom_site_fract_y
_atom_site_fract_z
Re1 Re 0.000 0.000 0.000
Tc1 Tc 0.000 0.500 0.500
Cl1 Cl 0.500 0.500 0.500
```

## Properties
formation energy without anion corrections: 1.357 eV/atom
energy above the lowest structure with this stoichiometry: 0 meV/atom
total magnetic moment: 0.15 μB/atom
total energy: -38.609 eV for the cell shown

=====

Record 5
## Sr2LiPt4Pb3 (PBE-GGA)

Data for a relaxed Sr2LiPt4Pb3 crystal.

```
data_Sr2LiPt4Pb3
_chemical_formula_sum 'Sr2 Li1 Pt4 Pb3'
_cell_length_a 4.446
_cell_length_b 4.446
_cell_length_c 12.153
_cell_angle_alpha 90.00
_cell_angle_beta 90.00
_cell_angle_gamma 90.00
_symmetry_space_group_name_H-M 'P -4 m 2'
_symmetry_Int_Tables_number 115
_symmetry_space_group_name_Hall 'P -4 -2'
loop_
_atom_site_label
_atom_site_type_symbol
_atom_site_fract_x
_atom_site_fract_y
_atom_site_fract_z
Sr1 Sr 0.000 0.500 0.243
Li1 Li 0.500 0.500 0.000
Pt1 Pt 0.000 0.000 0.500
Pt2 Pt 0.000 0.500 0.861
Pt3 Pt 0.500 0.500 0.500
Pb1 Pb 0.000 0.000 0.000
Pb2 Pb 0.000 0.500 0.634
```

## Properties
total magnetic moment: 0.00 μB/atom
energy relative to the elements: -0.52 eV per atom
total energy: -45.734 eV for the cell shown

=====

Record 6
## PuZnSi (PBE-GGA)

Data for a relaxed PuZnSi crystal.

```
data_PuZnSi
_chemical_formula_sum 'Pu2 Zn2 Si2'
_cell_length_a 2.499
_cell_length_b 2.499
_cell_length_c 15.890
_cell_angle_alpha 90.00
_cell_angle_beta 90.00
_cell_angle_gamma 90.00
_symmetry_space_group_name_H-M 'I 4 m m'
_symmetry_Int_Tables_number 107
_symmetry_space_group_name_Hall 'I 4 -2'
loop_
_atom_site_label
_atom_site_type_symbol
_atom_site_fract_x
_atom_site_fract_y
_atom_site_fract_z
Pu1 Pu 0.000 0.000 0.000
Zn1 Zn 0.000 0.000 0.659
Si1 Si 0.000 0.000 0.819
```

## Properties
formation energy without anion corrections: 0.426 eV/atom
total magnetic moment: 0.00 μB/atom
total energy: -39.504 eV for the cell shown

=====

no.,DOS at the Fermi energy (states/eV/atom)
1,1.261
2,0.367
3,0.951
4,1.316
5,0.665
6,1.766